Arrangement w

A geometry-optimized AlZnFeHg structure, computed with PBE.

Values from the calculation:
M_tot: 1.9 μB per formula unit
Mass density: 9352 kg/m³

Structure (CIF):
```
data_AlZnFeHg
_space_group_name_H-M_alt 'F -4 3 m'
_space_group_IT_number 216
_space_group_name_Hall 'F -4 2 3'
_cell_length_a 6.2807
_cell_length_b 6.2807
_cell_length_c 6.2807
_cell_angle_alpha 90.00
_cell_angle_beta 90.00
_cell_angle_gamma 90.00
loop_
_atom_site_label
_atom_site_fract_x
_atom_site_fract_y
_atom_site_fract_z
Al1 0.0000 0.0000 0.0000
Zn1 0.0000 0.0000 0.5000
Fe1 0.2500 0.2500 0.2500
Hg1 0.2500 0.2500 0.7500
```

=====

Arrangement x

A geometry-optimized AlZnFeHg structure, computed with PBE.

Values from the calculation:
M_tot: 2.0 μB per formula unit
Mass density: 9218 kg/m³

Structure (CIF):
```
data_AlZnFeHg
_space_group_name_H-M_alt 'F -4 3 m'
_space_group_IT_number 216
_space_group_name_Hall 'F -4 2 3'
_cell_length_a 6.3110
_cell_length_b 6.3110
_cell_length_c 6.3110
_cell_angle_alpha 90.00
_cell_angle_beta 90.00
_cell_angle_gamma 90.00
loop_
_atom_site_label
_atom_site_fract_x
_atom_site_fract_y
_atom_site_fract_z
Al1 0.0000 0.0000 0.0000
Zn1 0.2500 0.2500 0.7500
Fe1 0.2500 0.2500 0.2500
Hg1 0.0000 0.0000 0.5000
```

=====

Most favorable first, least favorable last: arrangement w, arrangement x